1.
GaAg2OsC GGA-PBE optimized geometry; D(E_F) = 0.750 states/eV per atom; formation energy from the elements = 1.10 eV/atom; magnetic moment = 0.00 μB/atom; space group = No. 123; E_tot = -4.739 eV/atom
1.0
5.243 0.000 0.000
0.000 5.243 0.000
0.000 0.000 3.799
Ga Ag Os C
1 2 1 1
Direct
0.000 0.000 0.000
0.000 0.500 0.500
0.500 0.000 0.500
0.500 0.500 0.500
0.500 0.500 0.000

***

2.
Y2GaAgC GGA-PBE optimized geometry; D(E_F) = 0.719 states/eV per atom; formation energy from the elements = 1.17 eV/atom; magnetic moment = 0.24 μB/atom; space group = No. 123; E_tot = -4.437 eV/atom
1.0
5.374 0.000 0.000
0.000 5.374 0.000
0.000 0.000 4.633
Y Ga Ag C
2 1 1 1
Direct
0.000 0.500 0.000
0.500 0.000 0.000
0.000 0.000 0.000
0.000 0.000 0.500
0.500 0.500 0.500

***

3.
Gd2AgC GGA-PBE optimized geometry; D(E_F) = 0.506 states/eV per atom; formation energy from the elements = -0.23 eV/atom; magnetic moment = 3.73 μB/atom; space group = No. 166; E_tot = -10.290 eV/atom
1.0
1.839 1.062 7.512
-1.839 1.062 7.512
0.000 -2.124 7.512
Gd Ag C
2 1 1
Direct
0.227 0.227 0.227
0.773 0.773 0.773
0.000 0.000 0.000
0.500 0.500 0.500

***

4.
Ag2GeC GGA-PBE optimized geometry; D(E_F) = 0.412 states/eV per atom; energy above the lowest structure with this stoichiometry = 0.047 eV per atom; formation energy from the elements = 1.34 eV/atom; magnetic moment = 0.00 μB/atom; space group = No. 225; E_tot = -3.549 eV/atom
1.0
0.000 3.142 3.142
3.142 0.000 3.142
3.142 3.142 0.000
Ag Ge C
2 1 1
Direct
0.250 0.250 0.250
0.750 0.750 0.750
0.000 0.000 0.000
0.500 0.500 0.500

***

5.
AgGe3C GGA-PBE optimized geometry; D(E_F) = 0.497 states/eV per atom; energy above the lowest structure with this stoichiometry = 1.045 eV per atom; formation energy from the elements = 1.98 eV/atom; magnetic moment = 0.21 μB/atom; space group = No. 221; E_tot = -3.206 eV/atom
1.0
4.959 0.000 0.000
0.000 4.959 0.000
0.000 0.000 4.959
Ag Ge C
1 3 1
Direct
0.000 0.000 0.000
0.000 0.000 0.500
0.000 0.500 0.000
0.500 0.000 0.000
0.500 0.500 0.500

***

6.
AgGeC3 GGA-PBE optimized geometry; D(E_F) = 0.635 states/eV per atom; energy above the lowest structure with this stoichiometry = 0.000 eV per atom; formation energy from the elements = 2.66 eV/atom; magnetic moment = 0.00 μB/atom; space group = No. 221; E_tot = -4.367 eV/atom
1.0
3.998 0.000 0.000
0.000 3.998 0.000
0.000 0.000 3.998
Ag Ge C
1 1 3
Direct
0.000 0.000 0.000
0.500 0.500 0.500
0.000 0.500 0.500
0.500 0.000 0.500
0.500 0.500 0.000